Record 1
{"formula": "AcErI2O8", "functional": "PBE", "state": "relaxed", "cell": [[6.257, 0.000, 0.000], [-3.129, 5.419, 0.000], [0.000, 0.000, 7.118]], "species": ["Ac", "Er", "I", "I", "O", "O", "O", "O", "O", "O", "O", "O"], "fractional_positions": [[0.000, 0.000, 0.000], [0.000, 0.000, 0.500], [0.333, 0.667, 0.280], [0.667, 0.333, 0.720], [0.150, 0.301, 0.283], [0.150, 0.850, 0.283], [0.301, 0.150, 0.717], [0.333, 0.667, 0.026], [0.667, 0.333, 0.974], [0.699, 0.850, 0.283], [0.850, 0.150, 0.717], [0.850, 0.699, 0.717]], "energy_ev_per_atom": -5.887, "raw_formation_energy_ev_per_atom": -1.60, "sg": "P-3m1, No. 164"}

Record 2
{"formula": "Ac2ErRh2I2", "functional": "PBE", "state": "relaxed", "cell": [[-2.567, 2.567, 8.823], [2.567, -2.567, 8.823], [2.567, 2.567, -8.823]], "species": ["Ac", "Ac", "Er", "Rh", "Rh", "I", "I"], "fractional_positions": [[0.107, 0.107, 0.000], [0.893, 0.893, 0.000], [0.500, 0.500, 0.000], [0.000, 0.500, 0.500], [0.500, 0.000, 0.500], [0.310, 0.310, 0.000], [0.690, 0.690, 0.000]], "energy_ev_per_atom": -5.226, "raw_formation_energy_ev_per_atom": -0.86, "sg": "I4/mmm, No. 139"}

Record 3
{"formula": "Ac5ErIn6", "functional": "PBE", "state": "relaxed", "cell": [[8.854, -3.849, 0.000], [8.854, 3.849, 0.000], [-1.096, 0.000, 5.794]], "species": ["Ac", "Ac", "Ac", "Ac", "Ac", "Er", "In", "In", "In", "In", "In", "In"], "fractional_positions": [[0.000, 0.000, 0.000], [0.161, 0.161, 0.671], [0.321, 0.321, 0.297], [0.679, 0.679, 0.703], [0.839, 0.839, 0.329], [0.500, 0.500, 0.000], [0.118, 0.570, 0.813], [0.289, 0.711, 0.500], [0.430, 0.882, 0.187], [0.570, 0.118, 0.813], [0.711, 0.289, 0.500], [0.882, 0.430, 0.187]], "energy_ev_per_atom": -3.871, "sg": "C2/m, No. 12"}

Record 4
{"formula": "Ac6ErIn5", "functional": "PBE", "state": "relaxed", "cell": [[5.522, 0.000, 0.000], [0.000, 8.986, 0.000], [-2.769, 0.000, 8.513]], "species": ["Ac", "Ac", "Ac", "Ac", "Ac", "Ac", "Er", "In", "In", "In", "In", "In"], "fractional_positions": [[0.000, 0.228, 0.000], [0.000, 0.772, 0.000], [0.327, 0.252, 0.655], [0.327, 0.748, 0.655], [0.673, 0.252, 0.345], [0.673, 0.748, 0.345], [0.500, 0.500, 0.000], [0.144, 0.500, 0.286], [0.174, 0.000, 0.344], [0.500, 0.000, 0.000], [0.826, 0.000, 0.656], [0.856, 0.500, 0.714]], "energy_ev_per_atom": -3.892, "sg": "P2/m, No. 10"}